# CsAgPt PBE optimized geometry
# total magnetization = 0.000 μB/atom
# crystal system = cubic
# distance to the lowest polymorph of the same formula = 0.000 eV per atom
data_CsAgPt
_chemical_formula_sum 'Cs4 Ag4 Pt4'
_symmetry_space_group_name_H-M 'F -4 3 m'
_symmetry_Int_Tables_number 216
_symmetry_space_group_name_Hall 'F -4 2 3'
_cell_length_a 7.194
_cell_length_b 7.194
_cell_length_c 7.194
_cell_angle_alpha 90.00
_cell_angle_beta 90.00
_cell_angle_gamma 90.00
loop_
_atom_site_label
_atom_site_type_symbol
_atom_site_fract_x
_atom_site_fract_y
_atom_site_fract_z
Cs1 Cs 0.000 0.000 0.000
Ag1 Ag 0.000 0.000 0.500
Pt1 Pt 0.250 0.250 0.750